This record from the Alexandria database describes a relaxed TmAl11Co crystal. The functional is GGA-PBE.

Calculated formation energy = -17.7 kJ/mol of atoms
E_tot = -0.1558 Ha/atom

Lattice parameters (Å, degrees): 5.114 12.534 7.111 90.00 108.42 90.00
Space group C2/m (No. 12)
Inequivalent atoms, fractional coordinates:
1 Tm 0.000 0.000 0.000 x2
2 Al 0.000 0.000 0.500 x2
3 Al 0.107 0.393 0.229 x8
4 Al 0.188 0.173 0.361 x8
5 Al 0.250 0.250 0.000 x4
6 Co 0.000 0.500 0.500 x2